A plane-wave DFT calculation with GGA-PBE was carried out for a relaxed structure of NpCuPt4.

The calculation puts the volume at 17.7 A^3/atom. The calculation puts the formation energy at -401 meV/atom. The density of states at the Fermi level is 2.03 states/eV per atom.

The space group is F-43m (No. 216) and the conventional cell measures 7.522, 7.522 and 7.522 Å, with angles of 90.00, 90.00 and 90.00 degrees. The asymmetric unit holds Np at (0.000, 0.000, 0.000), Cu at (0.250, 0.250, 0.750) and Pt at (0.124, 0.124, 0.376).



A plane-wave DFT calculation with GGA-PBE was carried out for a relaxed structure of Np2CuSi3Pt4.

The calculation puts the volume at 17.6 A^3/atom. The formation energy without anion corrections is -648 meV/atom. The density of states at the Fermi level is 2.50 states/eV per atom.

The space group is P-4m2 (No. 115) and the conventional cell measures 4.166, 4.166 and 10.147 Å, with angles of 90.00, 90.00 and 90.00 degrees. The asymmetric unit holds Np at (0.000, 0.500, 0.240), Cu at (0.500, 0.500, 0.000), Si at (0.000, 0.000, 0.000), Si at (0.000, 0.500, 0.632), Pt at (0.000, 0.000, 0.500), Pt at (0.000, 0.500, 0.864) and Pt at (0.500, 0.500, 0.500).



A plane-wave DFT calculation with GGA-PBE was carried out for a relaxed structure of NpCuSi2Pt4.

The calculation puts the volume at 16.5 A^3/atom. The formation energy without anion corrections is -498 meV/atom. The density of states at the Fermi level is 1.46 states/eV per atom.

The space group is R-3m (No. 166, hexagonal axes) and the conventional cell measures 4.1610, 4.1610 and 26.4646 Å, with angles of 90.00, 90.00 and 120.00 degrees. The asymmetric unit holds Np at (0.0000, 0.0000, 0.0000), Cu at (0.0000, 0.0000, 0.5000), Si at (0.0000, 0.0000, 0.2416), Pt at (0.0000, 0.0000, 0.1309) and Pt at (0.0000, 0.0000, 0.4020).



A plane-wave DFT calculation with GGA-PBE was carried out for a relaxed structure of NpUCuPt.

The calculation puts the volume at 18.3 A^3/atom. The calculation puts the formation energy at -289 meV/atom. The density of states at the Fermi level is 1.38 states/eV per atom.

The space group is F-43m (No. 216) and the conventional cell measures 6.640, 6.640 and 6.640 Å, with angles of 90.00, 90.00 and 90.00 degrees. The asymmetric unit holds Np at (0.000, 0.000, 0.000), U at (0.250, 0.250, 0.750), Cu at (0.250, 0.250, 0.250) and Pt at (0.000, 0.000, 0.500).



A plane-wave DFT calculation with GGA-PBE was carried out for a relaxed structure of Pu2NpCu.

The calculation puts the volume at 19.5 A^3/atom. The calculation puts the formation energy at 186 meV/atom. For the excess energy over the best structure of this formula in the dataset, the calculation gives 0 meV/atom. The density of states at the Fermi level is 2.80 states/eV per atom.

The space group is P4/mmm (No. 123) and the conventional cell measures 5.134, 5.134 and 2.952 Å, with angles of 90.00, 90.00 and 90.00 degrees. The asymmetric unit holds Pu at (0.000, 0.500, 0.000), Np at (0.000, 0.000, 0.500) and Cu at (0.500, 0.500, 0.500).



A plane-wave DFT calculation with GGA-PBE was carried out for a relaxed structure of Pu2NpCu.

The calculation puts the volume at 18.2 A^3/atom. The calculation puts the formation energy at 572 meV/atom. For the excess energy over the best structure of this formula in the dataset, the calculation gives 386 meV/atom. The density of states at the Fermi level is 2.25 states/eV per atom.

The space group is R-3m (No. 166, hexagonal axes) and the conventional cell measures 2.6694, 2.6694 and 35.4101 Å, with angles of 90.00, 90.00 and 120.00 degrees. The asymmetric unit holds Pu at (0.0000, 0.0000, 0.0807), Np at (0.0000, 0.0000, 0.5000) and Cu at (0.0000, 0.0000, 0.0000).